No. 1
PBE SrCd6Ag4, optimized geometry; energy above the most stable polymorph in this dataset = 0.057 eV per atom; ΔH_f (0 K) = -0.75 eV/f.u.; density of states at the Fermi level = 4.70 states/eV/f.u.; SG = I-42m, No. 121; spin magnetization = 0.000 μB/cell
1.0
-3.638 3.638 5.205
3.638 -3.638 5.205
3.638 3.638 -5.205
Sr Cd Ag
1 6 4
Direct
0.000 0.000 0.000 Sr
0.000 0.500 0.500 Cd
0.105 0.490 0.000 Cd
0.490 0.105 0.000 Cd
0.500 0.000 0.500 Cd
0.510 0.510 0.615 Cd
0.895 0.895 0.385 Cd
0.259 0.259 0.672 Ag
0.413 0.741 0.000 Ag
0.587 0.587 0.328 Ag
0.741 0.413 0.000 Ag

No. 2
PBE SrCd2Ag, optimized geometry; ΔH_f (0 K) = -0.62 eV/f.u.; density of states at the Fermi level = 1.40 states/eV/f.u.; SG = Pmmm, No. 47; spin magnetization = 0.000 μB/cell
1.0
4.606 0.000 0.000
0.000 4.671 0.000
0.000 0.000 5.002
Sr Cd Ag
1 2 1
Direct
0.000 0.000 0.000 Sr
0.000 0.500 0.500 Cd
0.500 0.000 0.500 Cd
0.500 0.500 0.000 Ag

No. 3
PBE Sr2CdAg6, optimized geometry; ΔH_f (0 K) = -1.82 eV/f.u.; density of states at the Fermi level = 3.11 states/eV/f.u.; SG = P-3m1, No. 164; spin magnetization = 0.000 μB/cell
1.0
6.283 0.000 0.000
-3.141 5.441 0.000
0.000 0.000 6.274
Sr Cd Ag
2 1 6
Direct
0.333 0.667 0.158 Sr
0.667 0.333 0.842 Sr
0.000 0.000 0.000 Cd
0.180 0.360 0.666 Ag
0.180 0.820 0.666 Ag
0.360 0.180 0.334 Ag
0.640 0.820 0.666 Ag
0.820 0.180 0.334 Ag
0.820 0.640 0.334 Ag

No. 4
PBE SrCd2Ag, optimized geometry; ΔH_f (0 K) = -0.71 eV/f.u.; density of states at the Fermi level = 1.39 states/eV/f.u.; SG = P2/m, No. 10; spin magnetization = 0.000 μB/cell
1.0
3.879 0.000 0.000
0.000 5.017 0.000
-0.012 0.000 5.865
Sr Cd Ag
1 2 1
Direct
0.000 0.000 0.000 Sr
0.499 0.500 0.745 Cd
0.501 0.500 0.255 Cd
0.500 0.000 0.500 Ag

No. 5
PBE Sr2Cd4Ag5, optimized geometry; energy above the most stable polymorph in this dataset = 0.082 eV per atom; ΔH_f (0 K) = -1.26 eV/f.u.; density of states at the Fermi level = 3.76 states/eV/f.u.; SG = C2/m, No. 12; spin magnetization = 0.000 μB/cell
1.0
6.783 -2.847 0.000
6.783 2.847 0.000
-5.353 0.000 7.462
Sr Cd Ag
2 4 5
Direct
0.194 0.194 0.246 Sr
0.806 0.806 0.754 Sr
0.133 0.133 0.565 Cd
0.268 0.268 0.945 Cd
0.732 0.732 0.055 Cd
0.867 0.867 0.435 Cd
0.220 0.714 0.246 Ag
0.286 0.780 0.754 Ag
0.500 0.500 0.000 Ag
0.714 0.220 0.246 Ag
0.780 0.286 0.754 Ag

No. 6
PBE SrCd4Ag4, optimized geometry; ΔH_f (0 K) = -0.47 eV/f.u.; density of states at the Fermi level = 3.01 states/eV/f.u.; SG = I4/m, No. 87; spin magnetization = 0.000 μB/cell
1.0
-4.619 4.619 2.474
4.619 -4.619 2.474
4.619 4.619 -2.474
Sr Cd Ag
1 4 4
Direct
0.000 0.000 0.000 Sr
0.091 0.631 0.722 Cd
0.369 0.091 0.460 Cd
0.631 0.909 0.540 Cd
0.909 0.369 0.278 Cd
0.289 0.384 0.674 Ag
0.384 0.711 0.095 Ag
0.616 0.289 0.905 Ag
0.711 0.616 0.326 Ag